Record 1
Compound: Dy5Bi2N
Source: Alexandria
Functional: PBE
Structure: optimized geometry

The structure belongs to space group Cmcm (No. 63); the cell edges are 4.4890, 16.3834 and 13.8137 Å and the angles 90.00°, 90.00° and 90.00°. The inequivalent atoms are Dy at (0.0000, 0.1045, 0.1198), Dy at (0.0000, 0.2609, 0.7500), Dy at (0.0000, 0.3036, 0.0599), Bi at (0.0000, 0.0846, 0.6252) and N at (0.0000, 0.1881, 0.2500).

The value obtained for the spin magnetization is 0.00 μB per formula unit. The uncorrected formation energy is -419 meV per atom. For the density of states at the Fermi level, the calculation gives 24.48 states/eV per cell.

=====

Record 2
Compound: Dy3Bi2N
Source: Alexandria
Functional: PBE
Structure: optimized geometry

The structure belongs to space group Cmcm (No. 63); the cell edges are 11.3713, 8.5750 and 6.4539 Å and the angles 90.00°, 90.00° and 90.00°. The inequivalent atoms are Dy at (0.0000, 0.1656, 0.2500), Dy at (0.1442, 0.5000, 0.0000), Bi at (0.1535, 0.1792, 0.7500) and N at (0.0000, 0.4284, 0.2500).

The value obtained for the spin magnetization is 0.00 μB per formula unit. The uncorrected formation energy is -965 meV per atom. For the density of states at the Fermi level, the calculation gives 6.49 states/eV per cell.

=====

Record 3
Compound: Dy2BiN
Source: Alexandria
Functional: PBE
Structure: optimized geometry

The structure belongs to space group R-3m (No. 166, hexagonal axes); the cell edges are 3.6029, 3.6029 and 23.0142 Å and the angles 90.00°, 90.00° and 120.00°. The inequivalent atoms are Dy at (0.0000, 0.0000, 0.2221), Bi at (0.0000, 0.0000, 0.0000) and N at (0.0000, 0.0000, 0.5000).

The value obtained for the spin magnetization is 0.00 μB per formula unit. The uncorrected formation energy is -1101 meV per atom. For the density of states at the Fermi level, the calculation gives 8.22 states/eV per cell.

=====

Record 4
Compound: Dy2BiN
Source: Alexandria
Functional: PBE
Structure: optimized geometry

The structure belongs to space group C2/m (No. 12); the cell edges are 6.4553, 6.4553 and 9.0821 Å and the angles 90.00°, 90.05° and 90.00°. The inequivalent atoms are Dy at (0.0000, 0.2500, 0.0000), Dy at (0.2505, 0.0000, 0.3181), Bi at (0.2496, 0.0000, 0.6867) and N at (0.2501, 0.0000, 0.0757).

The value obtained for the spin magnetization is 0.00 μB per formula unit. The uncorrected formation energy is -1266 meV per atom. For the density of states at the Fermi level, the calculation gives 1.98 states/eV per cell.